Er2CoP | PBE-GGA | relaxed

Lattice parameters (Å, degrees): 3.692 3.692 24.839 90.00 90.00 120.00
Atoms (fractional coordinates):
Er  0.000  0.000  0.101
Er  0.000  0.000  0.899
Er  0.333  0.667  0.566
Er  0.333  0.667  0.767
Er  0.667  0.333  0.233
Er  0.667  0.333  0.434
Co  0.000  0.000  0.000
Co  0.333  0.667  0.667
Co  0.667  0.333  0.333
P  0.000  0.000  0.500
P  0.333  0.667  0.167
P  0.667  0.333  0.833

## Properties
- Total energy: -5.481 eV/atom
- Spin magnetization: 0.25 μB/atom
- Crystal system: trigonal
- DOS(E_F): 3.3 states/eV/f.u.

=====

La5ErAs6 | PBE-GGA | relaxed

Lattice parameters (Å, degrees): 7.500 7.500 7.499 99.60 99.60 120.00
Atoms (fractional coordinates):
La  0.000  0.000  0.000
La  0.166  0.834  0.500
La  0.332  0.668  0.000
La  0.668  0.332  0.000
La  0.834  0.166  0.500
Er  0.500  0.500  0.500
As  0.094  0.419  0.256
As  0.257  0.257  0.746
As  0.419  0.094  0.256
As  0.581  0.906  0.744
As  0.743  0.743  0.254
As  0.906  0.581  0.744

## Properties
- Total energy: -6.310 eV/atom
- Spin magnetization: 0.00 μB/atom
- Crystal system: monoclinic
- DOS(E_F): 0.6 states/eV/f.u.

=====

SiSbTe2 | PBE-GGA | relaxed

Lattice parameters (Å, degrees): 6.144 8.669 4.204 90.00 90.00 90.00
Atoms (fractional coordinates):
Si  0.000  0.000  0.000
Si  0.500  0.500  0.000
Sb  0.000  0.500  0.000
Sb  0.500  0.000  0.000
Te  0.000  0.232  0.500
Te  0.000  0.768  0.500
Te  0.500  0.268  0.500
Te  0.500  0.732  0.500

## Properties
- Total energy: -3.750 eV/atom
- Spin magnetization: 0.00 μB/atom
- Crystal system: orthorhombic
- DOS(E_F): 2.3 states/eV/f.u.
- Formation energy from raw total energies: 207 meV/atom
- Distance to the lowest polymorph of the same formula: 8.1 kJ/mol of atoms

=====

ZrCuRh2 | PBE-GGA | relaxed

Lattice parameters (Å, degrees): 2.837 2.837 27.181 90.00 90.00 120.00
Atoms (fractional coordinates):
Zr  0.000  0.000  0.000
Zr  0.333  0.667  0.667
Zr  0.667  0.333  0.333
Cu  0.000  0.000  0.755
Cu  0.333  0.667  0.422
Cu  0.667  0.333  0.088
Rh  0.000  0.000  0.246
Rh  0.000  0.000  0.498
Rh  0.333  0.667  0.165
Rh  0.333  0.667  0.912
Rh  0.667  0.333  0.579
Rh  0.667  0.333  0.832

## Properties
- Total energy: -6.738 eV/atom
- Spin magnetization: 0.22 μB/atom
- Crystal system: trigonal
- DOS(E_F): 5.9 states/eV/f.u.

=====

Mo3WSe4S4 | PBE-GGA | relaxed

Lattice parameters (Å, degrees): 3.254 3.254 28.620 90.00 90.00 120.00
Atoms (fractional coordinates):
Mo  0.000  0.000  0.000
Mo  0.000  0.000  0.492
Mo  0.333  0.667  0.742
W  0.333  0.667  0.251
Se  0.000  0.000  0.682
Se  0.000  0.000  0.801
Se  0.333  0.667  0.059
Se  0.333  0.667  0.941
S  0.000  0.000  0.197
S  0.000  0.000  0.305
S  0.333  0.667  0.438
S  0.333  0.667  0.546

## Properties
- Total energy: -7.078 eV/atom
- Spin magnetization: 0.00 μB/atom
- Crystal system: trigonal
- Formation energy from raw total energies: -754 meV/atom
- Distance to the lowest polymorph of the same formula: 0.0 kJ/mol of atoms

=====

Zr2NiSb | PBE-GGA | relaxed

Lattice parameters (Å, degrees): 4.068 4.068 9.445 90.00 90.00 90.00
Atoms (fractional coordinates):
Zr  0.000  0.000  0.000
Zr  0.000  0.500  0.250
Zr  0.500  0.000  0.750
Zr  0.500  0.500  0.500
Ni  0.000  0.500  0.750
Ni  0.500  0.000  0.250
Sb  0.000  0.000  0.500
Sb  0.500  0.500  0.000

## Properties
- Total energy: -7.097 eV/atom
- Spin magnetization: 0.00 μB/atom
- Crystal system: tetragonal
- DOS(E_F): 4.6 states/eV/f.u.
- Formation energy from raw total energies: -347 meV/atom